A relaxed CsPrCrO4 crystal, computed with PBE with a Hubbard U.

Total energy, eV per atom: -6.937
Total magnetization, μB per atom: 0.29

a b c (Å): 6.0707 6.0653 8.1365
angles (deg): 90.00 107.78 90.00
Element x y z (fractional)
Cs  0.6981  0.7500  0.9287
Cs  0.3019  0.2500  0.0713
O  0.4393  0.7500  0.2106
O  0.9530  0.0249  0.6695
O  0.4482  0.7500  0.5551
O  0.5607  0.2500  0.7894
O  0.5518  0.2500  0.4449
O  0.0470  0.5249  0.3305
O  0.0470  0.9751  0.3305
O  0.9530  0.4751  0.6695
Cr  0.2540  0.7500  0.3428
Cr  0.7460  0.2500  0.6572
Pr  0.2050  0.2500  0.5430
Pr  0.7950  0.7500  0.4570